{"formula": "TeMoN2O", "functional": "PBE with a Hubbard U", "state": "relaxed", "lattice": [[4.075, 0.000, 0.000], [0.000, 4.075, 0.000], [0.000, 0.000, 4.138]], "species": ["Te", "Mo", "N", "N", "O"], "frac_coords": [[0.000, 0.000, 0.000], [0.500, 0.500, 0.000], [0.000, 0.500, 0.500], [0.500, 0.000, 0.500], [0.000, 0.000, 0.500]], "energy_ev_per_atom": -4.519}